The following is a DFT calculation (PBE-GGA) of a relaxed structure of LiDyBi2.

POSCAR file:
```
LiDyBi2
1.0
5.047 0.000 0.000
0.000 5.047 0.000
0.000 0.000 4.228
Li Dy Bi
1 1 2
Cartesian
0.000 0.000 0.000
2.523 2.523 0.000
0.000 2.523 2.114
2.523 0.000 2.114
```

Results
The density of states at the Fermi level comes out at 1.84 states/eV/f.u. Its excess energy over the best structure of this formula in the dataset is 7.7 kJ per mole of atoms. Its total magnetic moment is 0.00 μB/f.u. The energy is -4.09 eV/atom. Its space-group type is P4/mmm, No. 123. As for the formation energy: -0.522 eV per atom.